Density functional theory data (PBE-GGA) for a relaxed structure of Na3TlCu.

Unit cell a=5.4303 b=5.4303 c=5.4303 alpha=90.00 beta=90.00 gamma=90.00
Sites, in units of the cell vectors:
Na 0.0000 0.0000 0.5000
Na 0.0000 0.5000 0.0000
Na 0.5000 0.0000 0.0000
Tl 0.5000 0.5000 0.5000
Cu 0.0000 0.0000 0.0000

Results
The value obtained for the total magnetization is 0.0000 μB per atom. Its crystal system is cubic. As for the offset from the most stable computed form: 0 meV/atom. The uncorrected energy is -1.84 eV/atom.

=====

Density functional theory data (PBE-GGA) for a relaxed structure of MgPd3.

Unit cell a=5.6431 b=5.6431 c=4.5504 alpha=90.00 beta=90.00 gamma=120.00
Sites, in units of the cell vectors:
Mg 0.3333 0.6667 0.2500
Mg 0.6667 0.3333 0.7500
Pd 0.1666 0.3332 0.7500
Pd 0.1666 0.8334 0.7500
Pd 0.3332 0.1666 0.2500
Pd 0.6668 0.8334 0.7500
Pd 0.8334 0.1666 0.2500
Pd 0.8334 0.6668 0.2500

Results
The value obtained for the total magnetization is 0.0000 μB per atom. Its crystal system is hexagonal. The uncorrected energy is -4.76 eV/atom.

=====

Density functional theory data (PBE-GGA) for a relaxed structure of LiAcIn.

Unit cell a=5.1923 b=5.1923 c=3.8229 alpha=90.00 beta=90.00 gamma=120.00
Sites, in units of the cell vectors:
Li 0.0000 0.0000 0.0000
Ac 0.6667 0.3333 0.5000
In 0.3333 0.6667 0.0000

Results
The value obtained for the total magnetization is 0.0000 μB per atom. Its crystal system is hexagonal. As for the offset from the most stable computed form: 0 meV/atom. The uncorrected energy is -3.23 eV/atom.

=====

Density functional theory data (PBE-GGA) for a relaxed structure of LaTb2Pr5Sm.

Unit cell a=9.8892 b=9.8892 c=9.8892 alpha=123.13 beta=123.13 gamma=84.67
Sites, in units of the cell vectors:
La 0.2500 0.2500 0.0000
La 0.7500 0.7500 0.0000
Tb 0.1099 0.6099 0.7197
Tb 0.3901 0.1099 0.5000
Tb 0.6099 0.8901 0.5000
Tb 0.8901 0.3901 0.2803
Pr 0.0000 0.0000 0.0000
Pr 0.0709 0.1659 0.5000
Pr 0.1659 0.6659 0.0950
Pr 0.3341 0.4291 0.5000
Pr 0.4291 0.9291 0.0950
Pr 0.5000 0.5000 0.0000
Pr 0.5709 0.0709 0.9050
Pr 0.6659 0.5709 0.5000
Pr 0.8341 0.3341 0.9050
Pr 0.9291 0.8341 0.5000
Sm 0.2500 0.7500 0.5000
Sm 0.7500 0.2500 0.5000

Results
The value obtained for the total magnetization is 0.0000 μB per atom. Its crystal system is tetragonal. The uncorrected energy is -4.49 eV/atom.

=====

What is the uncorrected energy in the fourth record? -4.49 eV/atom

=====

Copy entry 4 word for word.
Density functional theory data (PBE-GGA) for a relaxed structure of LaTb2Pr5Sm.

Unit cell a=9.8892 b=9.8892 c=9.8892 alpha=123.13 beta=123.13 gamma=84.67
Sites, in units of the cell vectors:
La 0.2500 0.2500 0.0000
La 0.7500 0.7500 0.0000
Tb 0.1099 0.6099 0.7197
Tb 0.3901 0.1099 0.5000
Tb 0.6099 0.8901 0.5000
Tb 0.8901 0.3901 0.2803
Pr 0.0000 0.0000 0.0000
Pr 0.0709 0.1659 0.5000
Pr 0.1659 0.6659 0.0950
Pr 0.3341 0.4291 0.5000
Pr 0.4291 0.9291 0.0950
Pr 0.5000 0.5000 0.0000
Pr 0.5709 0.0709 0.9050
Pr 0.6659 0.5709 0.5000
Pr 0.8341 0.3341 0.9050
Pr 0.9291 0.8341 0.5000
Sm 0.2500 0.7500 0.5000
Sm 0.7500 0.2500 0.5000

Results
The value obtained for the total magnetization is 0.0000 μB per atom. Its crystal system is tetragonal. The uncorrected energy is -4.49 eV/atom.